(1)
Sr2BeTl | PBE | relaxed

The structure belongs to space group R3m (No. 160, hexagonal axes); the cell edges are 4.4440, 4.4440 and 25.0244 Å and the angles 90.00°, 90.00° and 120.00°. Symmetry generates all atoms from Sr at (0.0000, 0.0000, 0.0000), Sr at (0.0000, 0.0000, 0.1789), Be at (0.0000, 0.0000, 0.7566) and Tl at (0.0000, 0.0000, 0.4227).

The distance to the lowest polymorph of the same formula is 0 meV/atom. The calculation puts the energy of formation from the pure elements at 0.01 eV per atom. The value obtained for the density of states at the Fermi level is 0.7613 states/eV per atom.

***

(2)
Sr4BeV2 | PBE | relaxed

The structure belongs to space group I4/mmm (No. 139); the cell edges are 6.2190, 6.2190 and 14.7344 Å and the angles 90.00°, 90.00° and 90.00°. Symmetry generates all atoms from Sr at (0.0000, 0.0000, 0.2068), Sr at (0.0000, 0.5000, 0.0000), Be at (0.0000, 0.0000, 0.0000) and V at (0.0000, 0.0000, 0.4381).

The calculation puts the energy of formation from the pure elements at 0.81 eV per atom. The value obtained for the density of states at the Fermi level is 1.2834 states/eV per atom.